Entry from OQMD via LeMat-Bulk: crystalline Rb4IrO4 at its relaxed geometry (GGA-PBE).

Calculated values
Space group: I4/m
Total DFT energy (no corrections): -4.771 eV per atom
Calculated density: 5.287 g/cm³

Cell lengths 6.4210, 6.4210, 6.4210 Å; angles 101.16, 101.16, 127.81 degrees
Closest atoms and distances in Å follow each position.
Atoms (fractional coordinates):
Rb1 0.0887 0.2943 0.3831  4 O 2.74-2.88
Rb2 0.2943 0.9113 0.2056  4 O 2.74-2.88
Rb3 0.7057 0.0887 0.7944  4 O 2.74-2.88
Rb4 0.9113 0.7057 0.6169  4 O 2.74-2.88
Ir1 0.5000 0.5000 0.0000  4 O 1.94
O1 0.2736 0.5742 0.8478  1 Ir 1.94
O2 0.4258 0.2736 0.6994  1 Ir 1.94
O3 0.5742 0.7264 0.3006  1 Ir 1.94
O4 0.7264 0.4258 0.1522  1 Ir 1.94